7
Lattice="-3.872 2.208 -1.902 0.966 -2.013 -4.302 -5.260 -5.185 -1.485" Properties=species:S:1:pos:R:3 comment="Sc2Ge4W (PBE-GGA, optimized geometry)" m_tot_mub_per_cell=0.00 dos_at_fermi_per_ev_cell=4.522 total_energy_ev_per_cell=-43.8 delta_e_f_ev_per_atom=0.046 pbc="T T T"
W 0.000 0.000 0.000
Ge -3.811 -3.174 -2.101
Ge -1.936 1.104 -0.951
Ge -4.356 -1.815 -5.589
Ge 0.483 -1.006 -2.151
Sc -5.854 -3.895 -4.952
Sc -2.312 -1.094 -2.737